The following is a DFT calculation (GGA-PBE) of a geometry-optimized RbTl2AuS structure.

Values from the calculation:
Mass density = 7.4 g/cm3
Space group = No. 63
Formation energy from raw total energies = -0.3879 eV/atom

Cell lengths 7.6265, 7.6265, 9.3071 Å; angles 90.00, 90.00, 143.21 degrees
Last column: nearest neighbours and their distance in Å.
Atoms (fractional coordinates):
Rb 0.0413 0.9587 0.7500  4 S 3.40
Rb 0.9587 0.0413 0.2500  4 S 3.40
Tl 0.3197 0.6803 0.5628  1 S 2.67
Tl 0.3197 0.6803 0.9372  1 S 2.67
Tl 0.6803 0.3197 0.0628  1 S 2.67
Tl 0.6803 0.3197 0.4372  1 S 2.67
Au 0.2275 0.7725 0.2500  6 Tl 3.05-3.20
Au 0.7725 0.2275 0.7500  6 Tl 3.05-3.20
S 0.5000 0.5000 0.0000  2 Tl 2.67
S 0.5000 0.5000 0.5000  2 Tl 2.67